This record from Alexandria via LeMat-Bulk describes a relaxed structure of La5Nd5Bi6. The functional is GGA-PBE.

Summary:
- formation energy from the elements (kJ per mole of atoms) = -77.2
- M_tot (μB per cell) = 3.04

Cell lengths 6.6549, 16.7158, 9.6201 Å; angles 90.00, 90.00, 90.00 degrees
Space group Amm2 (No. 38)
Asymmetric unit:
La (0.0000, 0.0000, 0.0000) (multiplicity 2)
La (0.2503, 0.1661, 0.7468) (multiplicity 8)
Nd (0.0000, 0.1247, 0.3713) (multiplicity 4)
Nd (0.5000, 0.0000, 0.4924) (multiplicity 2)
Nd (0.5000, 0.1251, 0.1227) (multiplicity 4)
Bi (0.0000, 0.0000, 0.6284) (multiplicity 2)
Bi (0.0000, 0.1933, 0.0553) (multiplicity 4)
Bi (0.5000, 0.0000, 0.8636) (multiplicity 2)
Bi (0.5000, 0.1919, 0.4386) (multiplicity 4)